Density functional theory data (PBE) for a relaxed structure of Li2TePd4.

Results
Polymorph energy (0 for the lowest one) in eV/f.u.: 0.20
E_form (uncorrected) in meV/atom: -357

Cell: 6.8969 6.8969 6.9982 Å, 120.48 120.48 87.93°
Last column: nearest neighbours and their distance in Å.
Positions (direct):
Li (0.0716, 0.0716, 0.3235)  2 Te 2.69, 6 Pd 2.76-2.95
Li (0.4992, 0.0013, 0.8817)  8 Pd 2.62-2.91
Li (0.9284, 0.9284, 0.6765)  2 Te 2.69, 6 Pd 2.76-2.95
Li (0.9987, 0.5008, 0.1183)  8 Pd 2.62-2.91
Te (0.2055, 0.7945, 0.0000)  6 Pd 2.64-2.80, 2 Li 2.69
Te (0.7917, 0.2083, 0.5000)  6 Pd 2.64-2.81, 2 Li 2.69
Pd (0.2533, 0.3456, 0.8654)  2 Te 2.66-2.80, 6 Pd 2.71-2.97, 4 Li 2.76-2.94
Pd (0.2530, 0.5603, 0.5965)  3 Li 2.63-2.81, 1 Te 2.64, 5 Pd 2.71-2.93
Pd (0.3426, 0.2559, 0.2332)  2 Te 2.66-2.81, 6 Pd 2.71-2.98, 4 Li 2.77-2.95
Pd (0.4397, 0.7470, 0.4035)  3 Li 2.63-2.81, 1 Te 2.64, 5 Pd 2.71-2.93
Pd (0.5579, 0.2564, 0.7172)  3 Li 2.62-2.80, 1 Te 2.64, 5 Pd 2.71-2.93
Pd (0.6544, 0.7467, 0.1346)  2 Te 2.66-2.80, 6 Pd 2.71-2.97, 4 Li 2.76-2.94
Pd (0.7436, 0.4421, 0.2828)  3 Li 2.62-2.80, 1 Te 2.64, 5 Pd 2.71-2.93
Pd (0.7441, 0.6574, 0.7668)  2 Te 2.66-2.81, 6 Pd 2.71-2.98, 4 Li 2.77-2.95